Below is a geometry-optimized Nd3Mo3W2N12 structure, with properties calculated at the GGA-PBE level.

Computed properties:
Raw total energy (eV/atom): -9.352

Cell lengths 11.1766, 11.1766, 11.1766 Å; angles 109.47, 109.47, 109.47 degrees
Atoms (fractional coordinates):
1 Nd 0.1250 0.2500 0.3750
2 Nd 0.1250 0.3750 0.7500
3 Nd 0.2500 0.3750 0.1250
4 Nd 0.2500 0.8750 0.6250
5 Nd 0.3750 0.1250 0.2500
6 Nd 0.3750 0.7500 0.1250
7 Nd 0.6250 0.2500 0.8750
8 Nd 0.6250 0.8750 0.7500
9 Nd 0.7500 0.1250 0.3750
10 Nd 0.7500 0.6250 0.8750
11 Nd 0.8750 0.6250 0.2500
12 Nd 0.8750 0.7500 0.6250
13 Mo 0.1250 0.7500 0.8750
14 Mo 0.1250 0.8750 0.2500
15 Mo 0.2500 0.1250 0.8750
16 Mo 0.2500 0.6250 0.3750
17 Mo 0.3750 0.2500 0.6250
18 Mo 0.3750 0.6250 0.7500
19 Mo 0.6250 0.3750 0.2500
20 Mo 0.6250 0.7500 0.3750
21 Mo 0.7500 0.3750 0.6250
22 Mo 0.7500 0.8750 0.1250
23 Mo 0.8750 0.1250 0.7500
24 Mo 0.8750 0.2500 0.1250
25 W 0.0000 0.0000 0.0000
26 W 0.0000 0.0000 0.5000
27 W 0.0000 0.5000 0.0000
28 W 0.0000 0.5000 0.5000
29 W 0.5000 0.0000 0.0000
30 W 0.5000 0.0000 0.5000
31 W 0.5000 0.5000 0.0000
32 W 0.5000 0.5000 0.5000
33 N 0.0148 0.1957 0.1135
34 N 0.0148 0.3191 0.9013
35 N 0.0822 0.6957 0.6809
36 N 0.0822 0.8865 0.4013
37 N 0.0987 0.6135 0.4178
38 N 0.0987 0.9852 0.6809
39 N 0.1135 0.0148 0.1957
40 N 0.1135 0.5987 0.9178
41 N 0.1809 0.1957 0.5822
42 N 0.1809 0.4852 0.5987
43 N 0.1957 0.1135 0.0148
44 N 0.1957 0.5822 0.1809
45 N 0.3043 0.3191 0.9178
46 N 0.3043 0.4852 0.3865
47 N 0.3191 0.9013 0.0148
48 N 0.3191 0.9178 0.3043
49 N 0.3865 0.3043 0.4852
50 N 0.3865 0.5822 0.9013
51 N 0.4013 0.0822 0.8865
52 N 0.4013 0.8191 0.5148
53 N 0.4178 0.0987 0.6135
54 N 0.4178 0.8191 0.8043
55 N 0.4852 0.3865 0.3043
56 N 0.4852 0.5987 0.1809
57 N 0.5148 0.4013 0.8191
58 N 0.5148 0.6135 0.6957
59 N 0.5822 0.1809 0.1957
60 N 0.5822 0.9013 0.3865
61 N 0.5987 0.1809 0.4852
62 N 0.5987 0.9178 0.1135
63 N 0.6135 0.4178 0.0987
64 N 0.6135 0.6957 0.5148
65 N 0.6809 0.0822 0.6957
66 N 0.6809 0.0987 0.9852
67 N 0.6957 0.5148 0.6135
68 N 0.6957 0.6809 0.0822
69 N 0.8043 0.4178 0.8191
70 N 0.8043 0.8865 0.9852
71 N 0.8191 0.5148 0.4013
72 N 0.8191 0.8043 0.4178
73 N 0.8865 0.4013 0.0822
74 N 0.8865 0.9852 0.8043
75 N 0.9013 0.0148 0.3191
76 N 0.9013 0.3865 0.5822
77 N 0.9178 0.1135 0.5987
78 N 0.9178 0.3043 0.3191
79 N 0.9852 0.6809 0.0987
80 N 0.9852 0.8043 0.8865

=====

Below is a geometry-optimized Nd3Mo2W3N12 structure, with properties calculated at the GGA-PBE level.

Computed properties:
Raw total energy (eV/atom): -9.462

Cell lengths 11.2130, 11.2130, 11.2130 Å; angles 109.47, 109.47, 109.47 degrees
Atoms (fractional coordinates):
1 Nd 0.1250 0.2500 0.3750
2 Nd 0.1250 0.3750 0.7500
3 Nd 0.2500 0.3750 0.1250
4 Nd 0.2500 0.8750 0.6250
5 Nd 0.3750 0.1250 0.2500
6 Nd 0.3750 0.7500 0.1250
7 Nd 0.6250 0.2500 0.8750
8 Nd 0.6250 0.8750 0.7500
9 Nd 0.7500 0.1250 0.3750
10 Nd 0.7500 0.6250 0.8750
11 Nd 0.8750 0.6250 0.2500
12 Nd 0.8750 0.7500 0.6250
13 Mo 0.0000 0.0000 0.0000
14 Mo 0.0000 0.0000 0.5000
15 Mo 0.0000 0.5000 0.0000
16 Mo 0.0000 0.5000 0.5000
17 Mo 0.5000 0.0000 0.0000
18 Mo 0.5000 0.0000 0.5000
19 Mo 0.5000 0.5000 0.0000
20 Mo 0.5000 0.5000 0.5000
21 W 0.1250 0.7500 0.8750
22 W 0.1250 0.8750 0.2500
23 W 0.2500 0.1250 0.8750
24 W 0.2500 0.6250 0.3750
25 W 0.3750 0.2500 0.6250
26 W 0.3750 0.6250 0.7500
27 W 0.6250 0.3750 0.2500
28 W 0.6250 0.7500 0.3750
29 W 0.7500 0.3750 0.6250
30 W 0.7500 0.8750 0.1250
31 W 0.8750 0.1250 0.7500
32 W 0.8750 0.2500 0.1250
33 N 0.0158 0.1983 0.1147
34 N 0.0158 0.3175 0.9011
35 N 0.0836 0.6983 0.6825
36 N 0.0836 0.8853 0.4011
37 N 0.0989 0.6147 0.4164
38 N 0.0989 0.9842 0.6825
39 N 0.1147 0.0158 0.1983
40 N 0.1147 0.5989 0.9164
41 N 0.1825 0.1983 0.5836
42 N 0.1825 0.4842 0.5989
43 N 0.1983 0.1147 0.0158
44 N 0.1983 0.5836 0.1825
45 N 0.3017 0.3175 0.9164
46 N 0.3017 0.4842 0.3853
47 N 0.3175 0.9011 0.0158
48 N 0.3175 0.9164 0.3017
49 N 0.3853 0.3017 0.4842
50 N 0.3853 0.5836 0.9011
51 N 0.4011 0.0836 0.8853
52 N 0.4011 0.8175 0.5158
53 N 0.4164 0.0989 0.6147
54 N 0.4164 0.8175 0.8017
55 N 0.4842 0.3853 0.3017
56 N 0.4842 0.5989 0.1825
57 N 0.5158 0.4011 0.8175
58 N 0.5158 0.6147 0.6983
59 N 0.5836 0.1825 0.1983
60 N 0.5836 0.9011 0.3853
61 N 0.5989 0.1825 0.4842
62 N 0.5989 0.9164 0.1147
63 N 0.6147 0.4164 0.0989
64 N 0.6147 0.6983 0.5158
65 N 0.6825 0.0836 0.6983
66 N 0.6825 0.0989 0.9842
67 N 0.6983 0.5158 0.6147
68 N 0.6983 0.6825 0.0836
69 N 0.8017 0.4164 0.8175
70 N 0.8017 0.8853 0.9842
71 N 0.8175 0.5158 0.4011
72 N 0.8175 0.8017 0.4164
73 N 0.8853 0.4011 0.0836
74 N 0.8853 0.9842 0.8017
75 N 0.9011 0.0158 0.3175
76 N 0.9011 0.3853 0.5836
77 N 0.9164 0.1147 0.5989
78 N 0.9164 0.3017 0.3175
79 N 0.9842 0.6825 0.0989
80 N 0.9842 0.8017 0.8853

=====

Below is a geometry-optimized Ni2Mo3N structure, with properties calculated at the GGA-PBE level.

Computed properties:
Raw total energy (eV/atom): -8.925

Cell lengths 6.6551, 6.6551, 6.6551 Å; angles 90.00, 90.00, 90.00 degrees
Atoms (fractional coordinates):
1 Ni 0.0667 0.0667 0.0667
2 Ni 0.1833 0.8167 0.3167
3 Ni 0.3167 0.1833 0.8167
4 Ni 0.4333 0.9333 0.5667
5 Ni 0.5667 0.4333 0.9333
6 Ni 0.6833 0.6833 0.6833
7 Ni 0.8167 0.3167 0.1833
8 Ni 0.9333 0.5667 0.4333
9 Mo 0.0492 0.8750 0.7008
10 Mo 0.1250 0.2008 0.4508
11 Mo 0.2008 0.4508 0.1250
12 Mo 0.2992 0.5492 0.6250
13 Mo 0.3750 0.7992 0.9508
14 Mo 0.4508 0.1250 0.2008
15 Mo 0.5492 0.6250 0.2992
16 Mo 0.6250 0.2992 0.5492
17 Mo 0.7008 0.0492 0.8750
18 Mo 0.7992 0.9508 0.3750
19 Mo 0.8750 0.7008 0.0492
20 Mo 0.9508 0.3750 0.7992
21 N 0.1250 0.6250 0.8750
22 N 0.3750 0.3750 0.3750
23 N 0.6250 0.8750 0.1250
24 N 0.8750 0.1250 0.6250

=====

Below is a geometry-optimized Ni2Mo3N structure, with properties calculated at the GGA-PBE level.

Computed properties:
Raw total energy (eV/atom): -8.661

Cell lengths 6.8068, 6.8068, 6.8068 Å; angles 90.00, 90.00, 90.00 degrees
Atoms (fractional coordinates):
1 Ni 0.0461 0.0461 0.0461
2 Ni 0.2039 0.7961 0.2961
3 Ni 0.2961 0.2039 0.7961
4 Ni 0.4539 0.9539 0.5461
5 Ni 0.5461 0.4539 0.9539
6 Ni 0.7039 0.7039 0.7039
7 Ni 0.7961 0.2961 0.2039
8 Ni 0.9539 0.5461 0.4539
9 Mo 0.0797 0.8750 0.6703
10 Mo 0.1250 0.1703 0.4203
11 Mo 0.1703 0.4203 0.1250
12 Mo 0.3297 0.5797 0.6250
13 Mo 0.3750 0.8297 0.9203
14 Mo 0.4203 0.1250 0.1703
15 Mo 0.5797 0.6250 0.3297
16 Mo 0.6250 0.3297 0.5797
17 Mo 0.6703 0.0797 0.8750
18 Mo 0.8297 0.9203 0.3750
19 Mo 0.8750 0.6703 0.0797
20 Mo 0.9203 0.3750 0.8297
21 N 0.1250 0.3750 0.6250
22 N 0.3750 0.6250 0.1250
23 N 0.6250 0.1250 0.3750
24 N 0.8750 0.8750 0.8750

=====

Below is a geometry-optimized NiMo3N2 structure, with properties calculated at the GGA-PBE level.

Computed properties:
Raw total energy (eV/atom): -9.002

Cell lengths 3.0546, 3.0546, 17.5892 Å; angles 90.00, 90.00, 120.00 degrees
Atoms (fractional coordinates):
1 Ni 0.0000 0.0000 0.2500
2 Ni 0.0000 0.0000 0.7500
3 Mo 0.0000 0.0000 0.0000
4 Mo 0.0000 0.0000 0.5000
5 Mo 0.3333 0.6667 0.1368
6 Mo 0.3333 0.6667 0.3632
7 Mo 0.6667 0.3333 0.6368
8 Mo 0.6667 0.3333 0.8632
9 N 0.3333 0.6667 0.5730
10 N 0.3333 0.6667 0.9270
11 N 0.6667 0.3333 0.0730
12 N 0.6667 0.3333 0.4270

=====

Below is a geometry-optimized NiMo4PN2 structure, with properties calculated at the GGA-PBE level.

Computed properties:
Raw total energy (eV/atom): -8.921

Cell lengths 2.9101, 2.9101, 13.3301 Å; angles 90.00, 90.00, 120.00 degrees
Atoms (fractional coordinates):
1 Ni 0.0000 0.0000 0.0000
2 Mo 0.0000 0.0000 0.3628
3 Mo 0.0000 0.0000 0.6372
4 Mo 0.6667 0.3333 0.1568
5 Mo 0.6667 0.3333 0.8432
6 P 0.6667 0.3333 0.5000
7 N 0.3333 0.6667 0.2570
8 N 0.3333 0.6667 0.7430

=====

Below is a geometry-optimized Rb2NiMoN4 structure, with properties calculated at the GGA-PBE level.

Computed properties:
Raw total energy (eV/atom): -6.404

Cell lengths 5.8343, 5.8343, 8.1375 Å; angles 90.00, 90.00, 90.00 degrees
Atoms (fractional coordinates):
1 Rb 0.0000 0.0000 0.0000
2 Rb 0.0000 0.5000 0.2500
3 Rb 0.5000 0.0000 0.7500
4 Rb 0.5000 0.5000 0.5000
5 Ni 0.0000 0.0000 0.5000
6 Ni 0.5000 0.5000 0.0000
7 Mo 0.0000 0.5000 0.7500
8 Mo 0.5000 0.0000 0.2500
9 N 0.0841 0.2490 0.6208
10 N 0.2490 0.9159 0.3792
11 N 0.2510 0.5841 0.8792
12 N 0.4159 0.2510 0.1208
13 N 0.5841 0.7490 0.1208
14 N 0.7490 0.4159 0.8792
15 N 0.7510 0.0841 0.3792
16 N 0.9159 0.7510 0.6208

=====

Below is a geometry-optimized NiSbMo4N2 structure, with properties calculated at the GGA-PBE level.

Computed properties:
Raw total energy (eV/atom): -8.624

Cell lengths 3.2581, 3.2581, 12.0016 Å; angles 90.00, 90.00, 120.00 degrees
Atoms (fractional coordinates):
1 Ni 0.0000 0.0000 0.0000
2 Sb 0.3333 0.6667 0.5000
3 Mo 0.0000 0.0000 0.3122
4 Mo 0.0000 0.0000 0.6878
5 Mo 0.3333 0.6667 0.1439
6 Mo 0.3333 0.6667 0.8561
7 N 0.6667 0.3333 0.2363
8 N 0.6667 0.3333 0.7637

=====

> Which of these has the highest raw total energy?

Rb2NiMoN4

=====

> Which value of raw total energy does entry 5 give?

-9.002 eV/atom

=====

> raw total energy of number 4 (Ni2Mo3N)?

-8.661 eV/atom